Record 1
Computed, not measured: a relaxed SiIr3Se crystal at the PBE-GGA level of DFT.

Cell: 4.4745 4.4745 4.4745 Å, 90.00 90.00 90.00°
Site moments in Bohr magnetons follow the coordinates.
Positions (direct):
Si 0.0000 0.0000 0.0000  -0.01
Ir 0.0000 0.5000 0.0000  0.38
Ir 0.0000 0.0000 0.5000  0.25
Ir 0.5000 0.0000 0.0000  0.35
Se 0.5000 0.5000 0.5000  0.06

Calculated values
E   -6.154 eV/atom
Density of states at the Fermi level   7.00 states/eV/cell
Symmetry   No. 221

Record 2
Computed, not measured: a relaxed TaRu2W crystal at the PBE-GGA level of DFT.

Cell: 3.1577 3.1567 6.3721 Å, 90.00 90.00 90.00°
Positions (direct):
Ru 0.0000 0.0000 0.9746
Ru 0.5000 0.5000 0.2720
Ta 0.0000 0.0000 0.4889
W 0.5000 0.5000 0.7645

Calculated values
E   -10.851 eV/atom
Calculated formation energy   -0.011 eV/atom
Density of states at the Fermi level   4.12 states/eV/cell
Symmetry   No. 99

Record 3
Computed, not measured: a relaxed CsFeAsCl6 crystal at the PBE-GGA level of DFT.

Cell: 6.5819 6.5810 7.8072 Å, 89.92 90.07 60.02°
Site moments in Bohr magnetons follow the coordinates.
Positions (direct):
Cs 0.0001 0.0002 0.0000  0.00
Fe 0.6675 0.6675 0.5000  3.48
As 0.3336 0.3336 0.5000  0.00
Cl 0.9947 0.3800 0.3179  0.05
Cl 0.3799 0.9947 0.6821  0.05
Cl 0.6220 0.3825 0.6833  0.05
Cl 0.9951 0.6242 0.6823  0.05
Cl 0.3825 0.6221 0.3167  0.05
Cl 0.6242 0.9952 0.3177  0.05

Calculated values
E   -3.763 eV/atom
Density of states at the Fermi level   6.06 states/eV/cell
Symmetry   No. 5